(1)
First-principles (PBE) data for crystalline CaDySiAu at its relaxed geometry, as listed in Alexandria via LeMat-Bulk. Values from VASP.

Summary:
The uncorrected formation energy is -63 kJ per mole of atoms. As for the volume: 22.99 A^3/atom. Its crystal system is cubic. The energy is -4.481 eV per atom. The space group is F-43m, No. 216. As for the theoretical density: 7.72 g/cm³.

Structure (Quantum ESPRESSO input):
```
&SYSTEM
  ibrav = 0, nat = 4, ntyp = 4
/
ATOMIC_SPECIES
Dy 162.50 Dy.upf
Si 28.09 Si.upf
Au 196.97 Au.upf
Ca 40.08 Ca.upf
ATOMIC_POSITIONS angstrom
Dy 0.000 0.000 0.000
Si -7.175 -2.274 5.476
Au -2.392 -0.758 1.825
Ca -4.783 -1.516 3.650
CELL_PARAMETERS angstrom
-4.921 0.790 0.912
-2.918 -3.809 1.626
-1.728 -0.012 4.763
```

=====

(2)
First-principles (PBE) data for crystalline TmSc2GaPd4 at its relaxed geometry, as listed in Alexandria via LeMat-Bulk. Values from VASP.

Summary:
As for the volume: 17.94 A^3/atom. Its crystal system is trigonal. The energy is -5.969 eV per atom. The space group is R-3m, No. 166. As for the theoretical density: 8.72 g/cm³. The value obtained for the energy of formation is -0.853 eV per atom.

Structure (Quantum ESPRESSO input):
```
&SYSTEM
  ibrav = 0, nat = 8, ntyp = 4
/
ATOMIC_SPECIES
Sc 44.96 Sc.upf
Pd 106.42 Pd.upf
Tm 168.93 Tm.upf
Ga 69.72 Ga.upf
ATOMIC_POSITIONS angstrom
Sc 6.979 4.029 5.599
Sc 2.326 1.343 2.058
Pd 4.653 2.686 6.522
Pd 4.653 2.686 1.135
Pd 6.979 4.029 2.878
Pd 2.326 1.343 4.779
Tm 0.000 0.000 0.000
Ga 4.653 2.686 3.828
CELL_PARAMETERS angstrom
4.653 0.000 0.000
2.326 4.029 0.000
2.326 1.343 7.657
```

=====

(3)
First-principles (PBE) data for crystalline Sc2TiB2 at its relaxed geometry, as listed in Alexandria via LeMat-Bulk. Values from VASP.

Summary:
As for the volume: 14.01 A^3/atom. Its crystal system is tetragonal. The energy is -7.110 eV per atom. The space group is P4/mbm, No. 127. As for the theoretical density: 3.78 g/cm³. The value obtained for the energy of formation is -0.328 eV per atom.

Structure (Quantum ESPRESSO input):
```
&SYSTEM
  ibrav = 0, nat = 10, ntyp = 3
/
ATOMIC_SPECIES
B 10.81 B.upf
Sc 44.96 Sc.upf
Ti 47.87 Ti.upf
ATOMIC_POSITIONS angstrom
B 3.709 0.624 0.000
B 2.461 5.546 0.000
B 5.546 3.709 0.000
B 0.624 2.461 0.000
Sc 5.061 1.976 1.840
Sc 1.976 1.109 1.840
Sc 4.193 5.061 1.840
Sc 1.109 4.193 1.840
Ti 0.000 0.000 0.000
Ti 3.085 3.085 0.000
CELL_PARAMETERS angstrom
6.169 0.000 0.000
0.000 6.169 0.000
0.000 0.000 3.680
```

=====

(4)
First-principles (PBE) data for crystalline BaMnBe2 at its relaxed geometry, as listed in Alexandria via LeMat-Bulk. Values from VASP.

Summary:
As for the volume: 22.18 A^3/atom. Its crystal system is tetragonal. The energy is -3.990 eV per atom. The space group is I4_1/amd, No. 141. As for the theoretical density: 3.94 g/cm³. The calculation puts the offset from the most stable computed form at 352 meV/atom. The value obtained for the energy of formation is 0.647 eV per atom.

Structure (Quantum ESPRESSO input):
```
&SYSTEM
  ibrav = 0, nat = 8, ntyp = 3
/
ATOMIC_SPECIES
Be 9.01 Be.upf
Ba 137.33 Ba.upf
Mn 54.94 Mn.upf
ATOMIC_POSITIONS angstrom
Be 0.205 1.848 2.738
Be -1.624 1.455 4.136
Be -0.090 1.919 8.223
Be -0.231 4.205 8.683
Ba 0.409 3.696 5.476
Ba 0.000 0.000 0.000
Mn -1.969 1.892 1.858
Mn -1.279 1.017 6.414
CELL_PARAMETERS angstrom
-0.280 4.571 0.920
-3.657 -0.787 2.797
3.067 0.930 8.173
```

=====

(5)
First-principles (PBE) data for crystalline CoRu2Br at its relaxed geometry, as listed in Alexandria via LeMat-Bulk. Values from VASP.

Summary:
The uncorrected formation energy is 61 kJ per mole of atoms. As for the volume: 14.88 A^3/atom. Its crystal system is trigonal. The energy is -6.199 eV per atom. The space group is R3m, No. 160. As for the theoretical density: 9.51 g/cm³. The calculation puts the offset from the most stable computed form at 87 meV/atom.

Structure (Quantum ESPRESSO input):
```
&SYSTEM
  ibrav = 0, nat = 4, ntyp = 3
/
ATOMIC_SPECIES
Co 58.93 Co.upf
Br 79.90 Br.upf
Ru 101.07 Ru.upf
ATOMIC_POSITIONS angstrom
Co -8.849 -10.815 -12.588
Br -5.841 -7.139 -8.309
Ru -3.005 -3.673 -4.274
Ru -0.014 -0.017 -0.020
CELL_PARAMETERS angstrom
-5.392 -4.399 -4.927
-3.304 -3.898 -6.826
-3.111 -6.132 -5.041
```

=====

(6)
First-principles (PBE) data for crystalline InWAu at its relaxed geometry, as listed in Alexandria via LeMat-Bulk. Values from VASP.

Summary:
As for the volume: 22.09 A^3/atom. Its crystal system is cubic. The energy is -5.312 eV per atom. The space group is F-43m, No. 216. As for the theoretical density: 12.42 g/cm³. The calculation puts the offset from the most stable computed form at 599 meV/atom. The value obtained for the energy of formation is 1.011 eV per atom.

Structure (Quantum ESPRESSO input):
```
&SYSTEM
  ibrav = 0, nat = 3, ntyp = 3
/
ATOMIC_SPECIES
Au 196.97 Au.upf
In 114.82 In.upf
W 183.84 W.upf
ATOMIC_POSITIONS angstrom
Au 0.000 0.000 0.000
In -4.786 -0.471 -2.795
W -7.180 -0.706 -4.193
CELL_PARAMETERS angstrom
-1.927 -1.505 -3.828
-4.198 -1.732 0.099
-3.448 2.296 -1.862
```

=====

(7)
First-principles (PBE) data for crystalline Hf4Sn at its relaxed geometry, as listed in Alexandria via LeMat-Bulk. Values from VASP.

Summary:
As for the volume: 24.92 A^3/atom. Its crystal system is tetragonal. The energy is -8.520 eV per atom. The space group is I4_1/amd, No. 141. As for the theoretical density: 11.10 g/cm³. The calculation puts the offset from the most stable computed form at 330 meV/atom. The value obtained for the energy of formation is 0.244 eV per atom.

Structure (Quantum ESPRESSO input):
```
&SYSTEM
  ibrav = 0, nat = 10, ntyp = 2
/
ATOMIC_SPECIES
Hf 178.49 Hf.upf
Sn 118.71 Sn.upf
ATOMIC_POSITIONS angstrom
Hf 3.769 2.070 1.819
Hf 6.822 1.737 0.027
Hf 1.028 -2.748 2.280
Hf 4.821 -0.311 -2.908
Hf 4.993 -1.070 2.391
Hf 1.841 -0.226 -0.092
Hf 4.008 -2.833 -0.536
Hf 1.940 -0.736 4.183
Sn 4.619 0.032 -0.146
Sn 1.230 -3.091 -0.483
CELL_PARAMETERS angstrom
-2.636 -5.279 3.682
5.095 -0.903 -4.647
2.913 4.059 4.838
```

=====

(8)
First-principles (PBE) data for crystalline BaTlCd2Au4 at its relaxed geometry, as listed in Alexandria via LeMat-Bulk. Values from VASP.

Summary:
As for the volume: 25.71 A^3/atom. Its crystal system is trigonal. The energy is -2.693 eV per atom. The space group is R-3m, No. 166. As for the theoretical density: 10.94 g/cm³. The value obtained for the energy of formation is -0.290 eV per atom.

Structure (Quantum ESPRESSO input):
```
&SYSTEM
  ibrav = 0, nat = 8, ntyp = 4
/
ATOMIC_SPECIES
Ba 137.33 Ba.upf
Cd 112.41 Cd.upf
Au 196.97 Au.upf
Tl 204.38 Tl.upf
ATOMIC_POSITIONS angstrom
Ba 0.000 0.000 0.000
Cd 2.417 1.395 2.715
Cd 7.250 4.186 7.449
Au 2.417 1.395 6.717
Au 4.833 2.791 2.038
Au 4.833 2.791 8.126
Au 7.250 4.186 3.448
Tl 4.833 2.791 5.082
CELL_PARAMETERS angstrom
4.833 0.000 0.000
2.417 4.186 0.000
2.417 1.395 10.164
```

=====

(9)
First-principles (PBE) data for crystalline NbNi3Cl at its relaxed geometry, as listed in Alexandria via LeMat-Bulk. Values from VASP.

Summary:
The uncorrected formation energy is 133 kJ per mole of atoms. As for the volume: 19.93 A^3/atom. Its crystal system is cubic. The energy is -4.475 eV per atom. The space group is Pm-3m, No. 221. As for the theoretical density: 5.07 g/cm³. The calculation puts the offset from the most stable computed form at 622 meV/atom.

Structure (Quantum ESPRESSO input):
```
&SYSTEM
  ibrav = 0, nat = 5, ntyp = 3
/
ATOMIC_SPECIES
Ni 58.69 Ni.upf
Cl 35.45 Cl.upf
Nb 92.91 Nb.upf
ATOMIC_POSITIONS angstrom
Ni -1.564 -1.711 -0.002
Ni -1.466 1.341 -1.194
Ni 0.883 -0.805 -1.987
Cl -2.147 -1.174 -3.183
Nb 0.000 0.000 0.000
CELL_PARAMETERS angstrom
-2.931 2.683 -2.389
1.765 -1.609 -3.973
-3.128 -3.421 -0.004
```

=====

(10)
First-principles (PBE) data for crystalline TlGaFeSn2 at its relaxed geometry, as listed in Alexandria via LeMat-Bulk. Values from VASP.

Summary:
As for the volume: 24.24 A^3/atom. Its crystal system is tetragonal. The energy is -4.293 eV per atom. The space group is P4/mmm, No. 123. As for the theoretical density: 7.77 g/cm³. The calculation puts the offset from the most stable computed form at 0 meV/atom. The value obtained for the energy of formation is 0.080 eV per atom.

Structure (Quantum ESPRESSO input):
```
&SYSTEM
  ibrav = 0, nat = 5, ntyp = 4
/
ATOMIC_SPECIES
Ga 69.72 Ga.upf
Sn 118.71 Sn.upf
Tl 204.38 Tl.upf
Fe 55.84 Fe.upf
ATOMIC_POSITIONS angstrom
Ga 0.000 0.000 2.369
Sn 2.529 0.000 0.000
Sn 0.000 2.529 0.000
Tl 2.529 2.529 2.369
Fe 0.000 0.000 0.000
CELL_PARAMETERS angstrom
5.057 0.000 0.000
0.000 5.057 0.000
0.000 0.000 4.738
```

=====

(11)
First-principles (PBE) data for crystalline Pr4SmS4 at its relaxed geometry, as listed in Alexandria via LeMat-Bulk. Values from VASP.

Summary:
The uncorrected formation energy is -171 kJ per mole of atoms. As for the volume: 26.43 A^3/atom. Its crystal system is tetragonal. The energy is -6.255 eV per atom. The space group is I4/m, No. 87. As for the theoretical density: 5.88 g/cm³.

Structure (Quantum ESPRESSO input):
```
&SYSTEM
  ibrav = 0, nat = 9, ntyp = 3
/
ATOMIC_SPECIES
S 32.06 S.upf
Sm 150.36 Sm.upf
Pr 140.91 Pr.upf
ATOMIC_POSITIONS angstrom
S 2.185 3.847 2.330
S 4.423 1.226 4.530
S 6.133 2.436 8.045
S 3.896 5.057 5.844
Sm 0.000 0.000 0.000
Pr 6.607 5.043 6.864
Pr 4.868 3.788 3.421
Pr 3.451 2.495 6.954
Pr 1.712 1.240 3.511
CELL_PARAMETERS angstrom
5.375 0.000 2.155
2.641 6.406 1.193
0.303 -0.123 7.026
```

=====

(12)
First-principles (PBE) data for crystalline V2NiH at its relaxed geometry, as listed in Alexandria via LeMat-Bulk. Values from VASP.

Summary:
As for the volume: 10.46 A^3/atom. Its crystal system is trigonal. The energy is -6.630 eV per atom. The space group is R-3m, No. 166. As for the theoretical density: 6.41 g/cm³.

Structure (Quantum ESPRESSO input):
```
&SYSTEM
  ibrav = 0, nat = 4, ntyp = 3
/
ATOMIC_SPECIES
Ni 58.69 Ni.upf
V 50.94 V.upf
H 1.01 H.upf
ATOMIC_POSITIONS angstrom
Ni 0.000 0.000 0.000
V 3.898 2.251 2.332
V 1.299 0.750 4.824
H 2.599 1.501 3.578
CELL_PARAMETERS angstrom
2.599 0.000 0.000
1.299 2.251 0.000
1.299 0.750 7.155
```